Below is MgNbCuAs2 after structural relaxation, with properties calculated at the PBE level.

The structure in CIF format:
```
data_MgNbCuAs2
_cell_length_a 4.8205
_cell_length_b 4.8205
_cell_length_c 4.3581
_cell_angle_alpha 90.00
_cell_angle_beta 90.00
_cell_angle_gamma 90.00
_space_group_name_H-M_alt 'P 4/m m m'
_space_group_IT_number 123
_space_group_name_Hall '-P 4 2'
loop_
_atom_site_label
_atom_site_type_symbol
_atom_site_fract_x
_atom_site_fract_y
_atom_site_fract_z
Mg1 Mg 0.0000 0.0000 0.0000
Nb1 Nb 0.5000 0.5000 0.5000
Cu1 Cu 0.0000 0.0000 0.5000
As1 As 0.0000 0.5000 0.0000
```

Computed properties:
N(E_F): 1.11 states/eV per atom
Magnetic moment: 0.00 Bohr magnetons per cell
Calculated formation energy: 0.9957 eV/atom

Below is Li3Cr after structural relaxation, with properties calculated at the PBE level.

The structure in CIF format:
```
data_Li3Cr
_cell_length_a 2.4781
_cell_length_b 4.7703
_cell_length_c 5.2423
_cell_angle_alpha 90.00
_cell_angle_beta 95.48
_cell_angle_gamma 90.00
_space_group_name_H-M_alt 'P 1 2/m 1'
_space_group_IT_number 10
_space_group_name_Hall '-P 2y'
loop_
_atom_site_label
_atom_site_type_symbol
_atom_site_fract_x
_atom_site_fract_y
_atom_site_fract_z
Li1 Li 0.0000 0.0000 0.0000
Li2 Li 0.1606 0.5000 0.7349
Cr1 Cr 0.5000 0.0000 0.5000
```

Computed properties:
N(E_F): 0.36 states/eV per atom
Polymorph energy (0 for the lowest one): 57.5 meV/atom
Magnetic moment: 2.39 Bohr magnetons per cell
Calculated formation energy: 0.4230 eV/atom

Below is SrLaCuS3 after structural relaxation, with properties calculated at the PBE level.

The structure in CIF format:
```
data_SrLaCuS3
_cell_length_a 11.2243
_cell_length_b 4.1311
_cell_length_c 11.6625
_cell_angle_alpha 90.00
_cell_angle_beta 90.00
_cell_angle_gamma 90.00
_space_group_name_H-M_alt 'P n m a'
_space_group_IT_number 62
_space_group_name_Hall '-P 2ac 2n'
loop_
_atom_site_label
_atom_site_type_symbol
_atom_site_fract_x
_atom_site_fract_y
_atom_site_fract_z
Sr1 Sr 0.1807 0.2500 0.0080
La1 La 0.0107 0.2500 0.6832
Cu1 Cu 0.2449 0.7500 0.7891
S1 S 0.0511 0.7500 0.8588
S2 S 0.1160 0.2500 0.4409
S3 S 0.2239 0.7500 0.1952
```

Computed properties:
Magnetic moment: 0.00 Bohr magnetons per cell
Calculated total energy: -5.572 eV/atom

Below is Pm6CoRh2I3 after structural relaxation, with properties calculated at the PBE level.

The structure in CIF format:
```
data_Pm6CoRh2I3
_cell_length_a 7.1357
_cell_length_b 12.3605
_cell_length_c 8.4205
_cell_angle_alpha 90.00
_cell_angle_beta 106.39
_cell_angle_gamma 90.00
_space_group_name_H-M_alt 'C 1 2/m 1'
_space_group_IT_number 12
_space_group_name_Hall '-C 2y'
loop_
_atom_site_label
_atom_site_type_symbol
_atom_site_fract_x
_atom_site_fract_y
_atom_site_fract_z
Pm1 Pm 0.2226 0.1616 0.1829
Pm2 Pm 0.2380 0.5000 0.1837
Co1 Co 0.0000 0.0000 0.0000
Rh1 Rh 0.0000 0.3334 0.0000
I1 I 0.0000 0.1667 0.5000
I2 I 0.0000 0.5000 0.5000
```

Computed properties:
N(E_F): 0.22 states/eV per atom
Magnetic moment: 0.00 Bohr magnetons per cell
Calculated total energy: -5.407 eV/atom